The following is a PBE calculation of a relaxed TiSnS3 crystal, from the Alexandria database.

Cell: 6.9352 3.5951 9.2643 Å, 90.00 92.45 90.00°
With the nearest neighbours (Å) after each atom.
Atoms (fractional coordinates):
1 Ti 0.0681 0.2500 0.1699  6 S 2.42-2.54
2 Ti 0.9319 0.7500 0.8301  6 S 2.42-2.54
3 Sn 0.4465 0.2500 0.8051  4 S 2.59-2.85
4 Sn 0.5535 0.7500 0.1949  4 S 2.59-2.85
5 S 0.0745 0.2500 0.6965  2 Ti 2.42
6 S 0.2111 0.7500 0.0127  3 Ti 2.52-2.54
7 S 0.3574 0.2500 0.3272  1 Ti 2.43, 2 Sn 2.59
8 S 0.6426 0.7500 0.6728  1 Ti 2.43, 2 Sn 2.59
9 S 0.7889 0.2500 0.9873  3 Ti 2.52-2.54
10 S 0.9255 0.7500 0.3035  2 Ti 2.42

Output
DOS(E_F)	1.569	states/eV per cell
energy relative to the elements, uncorrected	-0.876	eV/atom
SG	P2_1/m

---

The following is a PBE calculation of a relaxed Li5V3H12 crystal, from the Alexandria database.

Cell: 9.0823 9.0823 9.0823 Å, 109.47 109.47 109.47°
With the nearest neighbours (Å) after each atom.
Atoms (fractional coordinates):
1 Li 0.0000 0.0000 0.0000  6 H 1.82
2 Li 0.0000 0.0000 0.5000  6 H 1.82
3 Li 0.0000 0.5000 0.0000  6 H 1.82
4 Li 0.0000 0.5000 0.5000  6 H 1.82
5 Li 0.1250 0.7500 0.8750  4 H 1.71
6 Li 0.1250 0.8750 0.2500  4 H 1.71
7 Li 0.2500 0.1250 0.8750  4 H 1.71
8 Li 0.2500 0.6250 0.3750  4 H 1.71
9 Li 0.3750 0.2500 0.6250  4 H 1.71
10 Li 0.3750 0.6250 0.7500  4 H 1.71
11 Li 0.5000 0.0000 0.0000  6 H 1.82
12 Li 0.5000 0.0000 0.5000  6 H 1.82
13 Li 0.5000 0.5000 0.0000  6 H 1.82
14 Li 0.5000 0.5000 0.5000  6 H 1.82
15 Li 0.6250 0.3750 0.2500  4 H 1.71
16 Li 0.6250 0.7500 0.3750  4 H 1.71
17 Li 0.7500 0.3750 0.6250  4 H 1.71
18 Li 0.7500 0.8750 0.1250  4 H 1.71
19 Li 0.8750 0.1250 0.7500  4 H 1.71
20 Li 0.8750 0.2500 0.1250  4 H 1.71
21 V 0.1250 0.2500 0.3750  8 H 1.89-1.90
22 V 0.1250 0.3750 0.7500  8 H 1.89-1.90
23 V 0.2500 0.3750 0.1250  8 H 1.89-1.90
24 V 0.2500 0.8750 0.6250  8 H 1.89-1.90
25 V 0.3750 0.1250 0.2500  8 H 1.89-1.90
26 V 0.3750 0.7500 0.1250  8 H 1.89-1.90
27 V 0.6250 0.2500 0.8750  8 H 1.89-1.90
28 V 0.6250 0.8750 0.7500  8 H 1.89-1.90
29 V 0.7500 0.1250 0.3750  8 H 1.89-1.90
30 V 0.7500 0.6250 0.8750  8 H 1.89-1.90
31 V 0.8750 0.6250 0.2500  8 H 1.89-1.90
32 V 0.8750 0.7500 0.6250  8 H 1.89-1.90
33 H 0.0600 0.2299 0.1444  2 Li 1.71-1.82, 2 V 1.89-1.90, 1 H 1.91
34 H 0.0600 0.3301 0.9156  2 Li 1.71-1.82, 2 V 1.89-1.90, 1 H 1.91
35 H 0.0844 0.6444 0.4145  2 Li 1.71-1.82, 2 V 1.89-1.90, 1 H 1.91
36 H 0.0844 0.9400 0.6699  2 Li 1.71-1.82, 2 V 1.89-1.90, 1 H 1.91
37 H 0.0855 0.7299 0.6699  2 Li 1.71-1.82, 2 V 1.89-1.90, 1 H 1.91
38 H 0.0855 0.8556 0.4156  2 Li 1.71-1.82, 2 V 1.89-1.90, 1 H 1.91
39 H 0.1444 0.0600 0.2299  2 Li 1.71-1.82, 2 V 1.89-1.90, 1 H 1.91
40 H 0.1444 0.5844 0.9145  2 Li 1.71-1.82, 2 V 1.89-1.90, 1 H 1.91
41 H 0.1699 0.2299 0.5855  2 Li 1.71-1.82, 2 V 1.89-1.90, 1 H 1.91
42 H 0.1699 0.4400 0.5844  2 Li 1.71-1.82, 2 V 1.89-1.90, 1 H 1.91
43 H 0.2299 0.1444 0.0600  2 Li 1.71-1.82, 2 V 1.89-1.90, 1 H 1.91
44 H 0.2299 0.5855 0.1699  2 Li 1.71-1.82, 2 V 1.89-1.90, 1 H 1.91
45 H 0.2701 0.3301 0.9145  2 Li 1.71-1.82, 2 V 1.89-1.90, 1 H 1.91
46 H 0.2701 0.4400 0.3556  2 Li 1.71-1.82, 2 V 1.89-1.90, 1 H 1.91
47 H 0.3301 0.9145 0.2701  2 Li 1.71-1.82, 2 V 1.89-1.90, 1 H 1.91
48 H 0.3301 0.9156 0.0600  2 Li 1.71-1.82, 2 V 1.89-1.90, 1 H 1.91
49 H 0.3556 0.2701 0.4400  2 Li 1.71-1.82, 2 V 1.89-1.90, 1 H 1.91
50 H 0.3556 0.5855 0.9156  2 Li 1.71-1.82, 2 V 1.89-1.90, 1 H 1.91
51 H 0.4145 0.0844 0.6444  2 Li 1.71-1.82, 2 V 1.89-1.90, 1 H 1.91
52 H 0.4145 0.8301 0.7701  2 Li 1.71-1.82, 2 V 1.89-1.90, 1 H 1.91
53 H 0.4156 0.0855 0.8556  2 Li 1.71-1.82, 2 V 1.89-1.90, 1 H 1.91
54 H 0.4156 0.8301 0.5600  2 Li 1.71-1.82, 2 V 1.89-1.90, 1 H 1.91
55 H 0.4400 0.3556 0.2701  2 Li 1.71-1.82, 2 V 1.89-1.90, 1 H 1.91
56 H 0.4400 0.5844 0.1699  2 Li 1.71-1.82, 2 V 1.89-1.90, 1 H 1.91
57 H 0.5600 0.4156 0.8301  2 Li 1.71-1.82, 2 V 1.89-1.90, 1 H 1.91
58 H 0.5600 0.6444 0.7299  2 Li 1.71-1.82, 2 V 1.89-1.90, 1 H 1.91
59 H 0.5844 0.1699 0.4400  2 Li 1.71-1.82, 2 V 1.89-1.90, 1 H 1.91
60 H 0.5844 0.9145 0.1444  2 Li 1.71-1.82, 2 V 1.89-1.90, 1 H 1.91
61 H 0.5855 0.1699 0.2299  2 Li 1.71-1.82, 2 V 1.89-1.90, 1 H 1.91
62 H 0.5855 0.9156 0.3556  2 Li 1.71-1.82, 2 V 1.89-1.90, 1 H 1.91
63 H 0.6444 0.4145 0.0844  2 Li 1.71-1.82, 2 V 1.89-1.90, 1 H 1.91
64 H 0.6444 0.7299 0.5600  2 Li 1.71-1.82, 2 V 1.89-1.90, 1 H 1.91
65 H 0.6699 0.0844 0.9400  2 Li 1.71-1.82, 2 V 1.89-1.90, 1 H 1.91
66 H 0.6699 0.0855 0.7299  2 Li 1.71-1.82, 2 V 1.89-1.90, 1 H 1.91
67 H 0.7299 0.5600 0.6444  2 Li 1.71-1.82, 2 V 1.89-1.90, 1 H 1.91
68 H 0.7299 0.6699 0.0855  2 Li 1.71-1.82, 2 V 1.89-1.90, 1 H 1.91
69 H 0.7701 0.4145 0.8301  2 Li 1.71-1.82, 2 V 1.89-1.90, 1 H 1.91
70 H 0.7701 0.8556 0.9400  2 Li 1.71-1.82, 2 V 1.89-1.90, 1 H 1.91
71 H 0.8301 0.5600 0.4156  2 Li 1.71-1.82, 2 V 1.89-1.90, 1 H 1.91
72 H 0.8301 0.7701 0.4145  2 Li 1.71-1.82, 2 V 1.89-1.90, 1 H 1.91
73 H 0.8556 0.4156 0.0855  2 Li 1.71-1.82, 2 V 1.89-1.90, 1 H 1.91
74 H 0.8556 0.9400 0.7701  2 Li 1.71-1.82, 2 V 1.89-1.90, 1 H 1.91
75 H 0.9145 0.1444 0.5844  2 Li 1.71-1.82, 2 V 1.89-1.90, 1 H 1.91
76 H 0.9145 0.2701 0.3301  2 Li 1.71-1.82, 2 V 1.89-1.90, 1 H 1.91
77 H 0.9156 0.0600 0.3301  2 Li 1.71-1.82, 2 V 1.89-1.90, 1 H 1.91
78 H 0.9156 0.3556 0.5855  2 Li 1.71-1.82, 2 V 1.89-1.90, 1 H 1.91
79 H 0.9400 0.6699 0.0844  2 Li 1.71-1.82, 2 V 1.89-1.90, 1 H 1.91
80 H 0.9400 0.7701 0.8556  2 Li 1.71-1.82, 2 V 1.89-1.90, 1 H 1.91

Output
DOS(E_F)	26.383	states/eV per cell
SG	Ia-3d
E_tot	-4.00	eV/atom

---

The following is a PBE calculation of a relaxed CeNd2Al4Au3 crystal, from the Alexandria database.

Cell: 4.3911 4.3911 11.8383 Å, 90.00 90.00 90.00°
With the nearest neighbours (Å) after each atom.
Atoms (fractional coordinates):
1 Ce 0.0000 0.0000 0.0000  4 Al 3.00, 4 Au 3.10
2 Nd 0.0000 0.5000 0.7282  8 Al 3.32-3.48, 4 Au 3.37
3 Nd 0.5000 0.0000 0.2718  8 Al 3.32-3.48, 4 Au 3.37
4 Al 0.0000 0.0000 0.5000  4 Au 2.60
5 Al 0.0000 0.5000 0.1723  1 Au 2.49
6 Al 0.5000 0.0000 0.8277  1 Au 2.49
7 Al 0.5000 0.5000 0.5000  4 Au 2.60
8 Au 0.0000 0.5000 0.3830  5 Al 2.49-2.60
9 Au 0.5000 0.0000 0.6170  5 Al 2.49-2.60
10 Au 0.5000 0.5000 0.0000  4 Al 3.00, 4 Ce 3.10

Output
DOS(E_F)	10.530	states/eV per cell
SG	P-4m2
E_tot	-4.56	eV/atom

---

The following is a PBE calculation of a relaxed MoAsPtSe2 crystal, from the Alexandria database.

Cell: 5.0621 5.0621 4.6987 Å, 90.00 90.00 90.00°
With the nearest neighbours (Å) after each atom.
Atoms (fractional coordinates):
1 Mo 0.0000 0.0000 0.0000  8 Se 3.45, 4 As 3.58
2 As 0.5000 0.5000 0.0000  2 Pt 2.35
3 Pt 0.5000 0.5000 0.5000  2 As 2.35, 4 Se 2.53
4 Se 0.0000 0.5000 0.5000  2 Pt 2.53
5 Se 0.5000 0.0000 0.5000  2 Pt 2.53

Output
DOS(E_F)	3.675	states/eV per cell
energy relative to the elements, uncorrected	0.939	eV/atom
SG	P4/mmm